The following is a DFT calculation (PBE-GGA) of crystalline KCrCl2 at its relaxed geometry.

Cell lengths 5.1777, 5.1777, 5.1777 Å; angles 60.00, 60.00, 60.00 degrees
Atoms (fractional coordinates):
1 K 0.0000 0.0000 0.0000
2 Cr 0.2500 0.2500 0.2500
3 Cl 0.5000 0.5000 0.5000
4 Cl 0.7500 0.7500 0.7500

Values from the calculation:
E_form (uncorrected), eV per atom: -0.298
Space group: F-43m, No. 216
Crystal system: cubic
ΔE to the lowest computed polymorph, eV per formula unit: 2.76
N(E_F), states/eV/cell: 5.89

The following is a DFT calculation (PBE-GGA) of crystalline HfAl2Mo2 at its relaxed geometry.

Cell lengths 6.9778, 6.9778, 3.3980 Å; angles 90.00, 90.00, 90.00 degrees
Atoms (fractional coordinates):
1 Hf 0.0000 0.0000 0.0000
2 Hf 0.5000 0.5000 0.0000
3 Al 0.1251 0.3749 0.0000
4 Al 0.3749 0.8749 0.0000
5 Al 0.6251 0.1251 0.0000
6 Al 0.8749 0.6251 0.0000
7 Mo 0.1729 0.6729 0.5000
8 Mo 0.3271 0.1729 0.5000
9 Mo 0.6729 0.8271 0.5000
10 Mo 0.8271 0.3271 0.5000

Values from the calculation:
Space group: P4/mbm, No. 127
Formation energy from the elements, kJ per mole of atoms: -25
Crystal system: tetragonal
ΔE to the lowest computed polymorph, eV per formula unit: 0.00
N(E_F), states/eV/cell: 3.10

The following is a DFT calculation (PBE-GGA) of crystalline CaH8Rh2 at its relaxed geometry.

Cell lengths 5.6105, 5.6105, 5.6105 Å; angles 141.22, 130.12, 64.91 degrees
Atoms (fractional coordinates):
1 Ca 0.0000 0.0000 0.0000
2 H 0.0260 0.9723 0.5504
3 H 0.2778 0.5000 0.7778
4 H 0.3788 0.8788 0.5000
5 H 0.4218 0.4755 0.4496
6 H 0.5782 0.0277 0.0537
7 H 0.6212 0.1212 0.5000
8 H 0.7222 0.5000 0.2222
9 H 0.9740 0.5245 0.9463
10 Rh 0.3483 0.3483 0.0000
11 Rh 0.6517 0.6517 0.0000

Values from the calculation:
Space group: I222, No. 23
Crystal system: orthorhombic
ΔE to the lowest computed polymorph, eV per formula unit: 1.72
N(E_F), states/eV/cell: 2.77

- What is the formula in the third record?
  CaH8Rh2

- Look up the N(E_F) of the second one.
  3.10 states/eV/cell